1.
Material: PmTlPb2Se4
Method: DFT, GGA-PBE
State: relaxed

a = 4.3726 Å, b = 7.5222 Å, c = 7.6923 Å
α = 71.41°, β = 90.00°, γ = 90.00°
Atoms (fractional coordinates):
Se1 0.0000 0.7503 0.7297
Se2 0.5000 0.7397 0.2688
Pm1 0.0000 0.5000 0.5000
Pb1 0.0000 0.0000 0.0000
Tl1 0.5000 0.5000 0.0000
Pb2 0.5000 0.0000 0.5000
Se3 0.0000 0.2497 0.2703
Se4 0.5000 0.2603 0.7312

## Properties
Calculated volume = 240 Å³/cell
Electronic total energy = -4.47 eV/atom

2.
Material: SmThRh4
Method: DFT, GGA-PBE
State: relaxed

a = 5.4063 Å, b = 5.4063 Å, c = 5.4063 Å
α = 60.00°, β = 60.00°, γ = 60.00°
Atoms (fractional coordinates):
Sm1 0.0000 0.0000 0.0000
Rh1 0.6252 0.6252 0.1243
Rh2 0.6252 0.1243 0.6252
Th1 0.2500 0.2500 0.2500
Rh3 0.1243 0.6252 0.6252
Rh4 0.6252 0.6252 0.6252

## Properties
Calculated volume = 112 Å³/cell
ΔH_f (0 K) = -0.729 eV/atom
Electronic total energy = -7.65 eV/atom

3.
Material: Tc2SbCl
Method: DFT, GGA-PBE
State: relaxed

a = 2.9747 Å, b = 5.4745 Å, c = 4.3679 Å
α = 90.00°, β = 90.00°, γ = 90.00°
Site moments in Bohr magnetons follow the coordinates.
Atoms (fractional coordinates):
Tc1 0.0000 0.0000 0.0000  1.45
Tc2 0.5000 0.5000 0.0000  0.07
Sb1 0.0000 0.5000 0.5000  -0.01
Cl1 0.5000 0.0000 0.5000  0.01

## Properties
Energy relative to the lowest polymorph listed for this composition = 805 meV per atom
Calculated volume = 71 Å³/cell
Electronic total energy = -5.96 eV/atom

4.
Material: Cs2Rb3Au
Method: DFT, GGA-PBE
State: relaxed

a = 4.7105 Å, b = 12.0442 Å, c = 15.8867 Å
α = 91.90°, β = 90.00°, γ = 90.00°
Atoms (fractional coordinates):
Rb1 0.2500 0.3080 0.1115
Au1 0.2500 0.8668 0.7438
Cs1 0.7500 0.6944 0.6041
Rb2 0.7500 0.0483 0.6205
Rb3 0.7500 0.6920 0.8885
Cs2 0.2500 0.3056 0.3959
Cs3 0.7500 0.0476 0.8717
Rb4 0.2500 0.3779 0.7501
Cs4 0.2500 0.9524 0.1283
Rb5 0.2500 0.9517 0.3795
Rb6 0.7500 0.6221 0.2499
Au2 0.7500 0.1332 0.2562

## Properties
Energy relative to the lowest polymorph listed for this composition = 0 meV per atom
Calculated volume = 901 Å³/cell
ΔH_f (0 K) = -0.073 eV/atom
Electronic total energy = -1.39 eV/atom

5.
Material: K2Al
Method: DFT, GGA-PBE
State: relaxed

a = 6.7093 Å, b = 6.7093 Å, c = 9.9654 Å
α = 76.25°, β = 76.25°, γ = 40.40°
Atoms (fractional coordinates):
K1 0.9699 0.9699 0.5658
K2 0.6687 0.6687 0.7395
K3 0.6090 0.6090 0.0942
K4 0.3079 0.3079 0.2674
Al1 0.3621 0.3621 0.8814
Al2 0.9156 0.9156 0.9518

## Properties
Energy relative to the lowest polymorph listed for this composition = 22 meV per atom
Calculated volume = 281 Å³/cell
ΔH_f (0 K) = 0.160 eV/atom
Electronic total energy = -1.82 eV/atom

6.
Material: Pr7PdI12
Method: DFT, GGA-PBE
State: relaxed

a = 10.0817 Å, b = 10.0817 Å, c = 10.0817 Å
α = 107.69°, β = 107.69°, γ = 107.69°
Atoms (fractional coordinates):
I1 0.6841 0.2262 0.0755
Pr1 0.3145 0.1087 0.0352
I2 0.1571 0.3929 0.4763
I3 0.3159 0.7738 0.9245
I4 0.4763 0.1571 0.3929
Pr2 0.9648 0.6855 0.8913
Pd1 0.0000 0.0000 0.0000
I5 0.6071 0.5237 0.8429
I6 0.0755 0.6841 0.2262
I7 0.3929 0.4763 0.1571
Pr3 0.6855 0.8913 0.9648
I8 0.7738 0.9245 0.3159
Pr4 0.8913 0.9648 0.6855
I9 0.8429 0.6071 0.5237
I10 0.5237 0.8429 0.6071
I11 0.9245 0.3159 0.7738
Pr5 0.5000 0.5000 0.5000
Pr6 0.0352 0.3145 0.1087
Pr7 0.1087 0.0352 0.3145
I12 0.2262 0.0755 0.6841

## Properties
Calculated volume = 837 Å³/cell
Electronic total energy = -4.12 eV/atom

7.
Material: Tb4SnSb2Te
Method: DFT, GGA-PBE
State: relaxed

a = 4.3793 Å, b = 7.6428 Å, c = 7.6337 Å
α = 109.19°, β = 90.00°, γ = 90.00°
Atoms (fractional coordinates):
Tb1 0.5000 0.2581 0.2547
Sb1 0.5000 0.0000 0.5000
Tb2 0.0000 0.2528 0.7486
Te1 0.0000 0.0000 0.0000
Sn1 0.5000 0.5000 0.0000
Tb3 0.0000 0.7472 0.2514
Tb4 0.5000 0.7419 0.7453
Sb2 0.0000 0.5000 0.5000

## Properties
Calculated volume = 241 Å³/cell
Electronic total energy = -5.35 eV/atom

8.
Material: Te2MoP
Method: DFT, GGA-PBE
State: relaxed

a = 8.5823 Å, b = 8.5823 Å, c = 8.5823 Å
α = 157.12°, β = 156.37°, γ = 33.13°
Atoms (fractional coordinates):
Te1 0.1456 0.1456 0.0000
Mo1 0.0000 0.5000 0.5000
P1 0.5000 0.0000 0.5000
Te2 0.8544 0.8544 0.0000

## Properties
Calculated volume = 98 Å³/cell
Electronic total energy = -5.50 eV/atom

9.
Material: Ta2AgCl
Method: DFT, GGA-PBE
State: relaxed

a = 3.1027 Å, b = 4.8816 Å, c = 4.8731 Å
α = 90.00°, β = 90.00°, γ = 90.00°
Atoms (fractional coordinates):
Ta1 0.0000 0.0000 0.0000
Cl1 0.0000 0.5000 0.5000
Ta2 0.5000 0.5000 0.0000
Ag1 0.5000 0.0000 0.5000

## Properties
Energy relative to the lowest polymorph listed for this composition = 697 meV per atom
Calculated volume = 74 Å³/cell
Electronic total energy = -6.46 eV/atom

10.
Material: Th2GeRu
Method: DFT, GGA-PBE
State: relaxed

a = 4.1012 Å, b = 6.0379 Å, c = 8.5601 Å
α = 111.70°, β = 90.00°, γ = 90.00°
Atoms (fractional coordinates):
Th1 0.7500 0.2193 0.9044
Ru1 0.7500 0.6782 0.2970
Th2 0.2500 0.7807 0.0956
Ru2 0.2500 0.3218 0.7030
Th3 0.2500 0.7788 0.5536
Ge1 0.7500 0.6624 0.7972
Ge2 0.2500 0.3376 0.2028
Th4 0.7500 0.2212 0.4464

## Properties
Energy relative to the lowest polymorph listed for this composition = 0 meV per atom
Calculated volume = 197 Å³/cell
ΔH_f (0 K) = -0.637 eV/atom
Electronic total energy = -7.82 eV/atom

11.
Material: Ta2Zn3Rh4
Method: DFT, GGA-PBE
State: relaxed

a = 4.0021 Å, b = 4.5920 Å, c = 8.2663 Å
α = 79.44°, β = 90.02°, γ = 64.18°
Atoms (fractional coordinates):
Ta1 0.3271 0.3451 0.7812
Rh1 0.3375 0.3249 0.1097
Rh2 0.0129 0.9745 0.3302
Zn1 0.0000 0.0000 0.0000
Ta2 0.6729 0.6549 0.2188
Rh3 0.9871 0.0255 0.6698
Zn2 0.3425 0.3155 0.4438
Zn3 0.6575 0.6845 0.5562
Rh4 0.6625 0.6751 0.8903

## Properties
Calculated volume = 134 Å³/cell
ΔH_f (0 K) = -0.480 eV/atom
Electronic total energy = -6.81 eV/atom

12.
Material: CsCu2N
Method: DFT, GGA-PBE
State: relaxed

a = 6.1474 Å, b = 6.1474 Å, c = 6.1450 Å
α = 59.99°, β = 59.99°, γ = 90.00°
Atoms (fractional coordinates):
Cu1 0.8750 0.6250 0.7500
Cu2 0.3750 0.6250 0.2500
Cu3 0.3750 0.6250 0.7500
Cs1 0.7500 0.2500 0.5000
N1 0.5000 0.5000 0.0000
Cs2 0.0000 0.0000 0.0000
Cu4 0.3750 0.1250 0.2500
N2 0.2500 0.7500 0.5000

## Properties
Calculated volume = 164 Å³/cell
Electronic total energy = -4.31 eV/atom

> What is the formula in the first record?

PmTlPb2Se4

> Among the records above, which one has the highest electronic total energy?

Cs2Rb3Au

> What is the electronic total energy in the fourth record?

-1.39 eV/atom

> Look up the electronic total energy of the third one.

-5.96 eV/atom